La2Hf2In | PBE | optimized geometry

Output
Energy above the lowest structure with this stoichiometry, kJ per mole of atoms: 0.00
DFT formation energy, eV/atom: 0.0641

a = 7.7150 Å, b = 7.7150 Å, c = 4.8120 Å
α = 90.00°, β = 90.00°, γ = 90.00°
With the nearest neighbours (Å) after each atom.
Space group P4/mbm (No. 127)
Inequivalent atoms, fractional coordinates:
La 0.1656 0.3345 0.0000 (multiplicity 4)  6 Hf 3.24-3.35, 1 La 3.61
Hf 0.1361 0.6361 0.5000 (multiplicity 4)  1 Hf 2.97, 2 In 3.00, 2 La 3.24
In 0.0000 0.0000 0.5000 (multiplicity 2)  4 Hf 3.00

NaHgAsCl6 | PBE | optimized geometry

a = 7.0030 Å, b = 7.1040 Å, c = 7.1122 Å
α = 119.17°, β = 104.30°, γ = 98.10°
With the nearest neighbours (Å) after each atom.
Space group P1 (No. 1)
Inequivalent atoms, fractional coordinates:
Na 0.0000 0.0000 0.0000 (multiplicity 1)  6 Cl 2.79-3.01
Hg 0.7539 0.5908 0.2422 (multiplicity 1)  3 Cl 2.44-2.48
As 0.0501 0.3470 0.6785 (multiplicity 1)  3 Cl 2.27-2.32
Cl 0.2276 0.1404 0.4723 (multiplicity 1)  1 As 2.27
Cl 0.2278 0.6867 0.7608 (multiplicity 1)  1 As 2.27
Cl 0.2418 0.3910 0.0224 (multiplicity 1)  1 As 2.32
Cl 0.7499 0.9265 0.5822 (multiplicity 1)  1 Hg 2.44
Cl 0.7594 0.2400 0.2372 (multiplicity 1)  1 Hg 2.48
Cl 0.7739 0.5856 0.8998 (multiplicity 1)  1 Hg 2.46

Quick rundown of VASP energy, same order as above: -6.436, -2.824 eV per atom